1.
This record from Alexandria describes TaHgPt at its PBEsol-relaxed geometry. The functional is meta-GGA SCAN.

The space group is P-6m2 (No. 187) and the conventional cell measures 4.5955, 4.5955 and 2.7819 Å, with angles of 90.00, 90.00 and 120.00 degrees. The asymmetric unit holds Ta at (0.0000, 0.0000, 0.0000), Hg at (0.6667, 0.3333, 0.5000) and Pt at (0.3333, 0.6667, 0.5000).

The crystal system is hexagonal. For the formation energy, the calculation gives -0.13 eV per atom.

---

2.
This record from Alexandria describes Ta2HgPt at its PBEsol-relaxed geometry. The functional is meta-GGA SCAN.

The space group is Cmmm (No. 65) and the conventional cell measures 5.775, 8.335 and 2.829 Å, with angles of 90.00, 90.00 and 90.00 degrees. The asymmetric unit holds Ta at (0.250, 0.250, 0.000), Hg at (0.000, 0.000, 0.500) and Pt at (0.000, 0.500, 0.500).

The crystal system is orthorhombic. For the formation energy, the calculation gives -0.17 eV per atom.

---

3.
This record from Alexandria describes Ta2HgPt at its PBEsol-relaxed geometry. The functional is meta-GGA SCAN.

The space group is Pmm2 (No. 25) and the conventional cell measures 3.142, 3.637 and 6.079 Å, with angles of 90.00, 90.00 and 90.00 degrees. The asymmetric unit holds Ta at (0.000, 0.000, 0.000), Ta at (0.500, 0.500, 0.259), Hg at (0.000, 0.000, 0.517) and Pt at (0.500, 0.500, 0.775).

The crystal system is orthorhombic. For the formation energy, the calculation gives -0.16 eV per atom.

---

4.
This record from Alexandria describes Ta2HgPt at its PBEsol-relaxed geometry. The functional is meta-GGA SCAN.

The space group is P4/mmm (No. 123) and the conventional cell measures 2.850, 2.850 and 8.410 Å, with angles of 90.00, 90.00 and 90.00 degrees. The asymmetric unit holds Ta at (0.000, 0.000, 0.236), Hg at (0.500, 0.500, 0.500) and Pt at (0.500, 0.500, 0.000).

The crystal system is tetragonal. For the formation energy, the calculation gives -0.23 eV per atom.

---

5.
This record from Alexandria describes Ta2HgPt at its PBEsol-relaxed geometry. The functional is meta-GGA SCAN.

The space group is Pmmm (No. 47) and the conventional cell measures 2.839, 4.115 and 5.848 Å, with angles of 90.00, 90.00 and 90.00 degrees. The asymmetric unit holds Ta at (0.000, 0.000, 0.238), Hg at (0.500, 0.500, 0.500) and Pt at (0.500, 0.500, 0.000).

The crystal system is orthorhombic. For the formation energy, the calculation gives -0.19 eV per atom.

---

6.
This record from Alexandria describes TcHgPt at its PBEsol-relaxed geometry. The functional is meta-GGA SCAN.

The space group is I4mm (No. 107) and the conventional cell measures 2.802, 2.802 and 12.326 Å, with angles of 90.00, 90.00 and 90.00 degrees. The asymmetric unit holds Tc at (0.000, 0.000, 0.000), Hg at (0.000, 0.000, 0.676) and Pt at (0.000, 0.000, 0.359).

The crystal system is tetragonal. For the formation energy, the calculation gives 0.17 eV per atom.

---

7.
This record from Alexandria describes TcHgPt2 at its PBEsol-relaxed geometry. The functional is meta-GGA SCAN.

The space group is Cmmm (No. 65) and the conventional cell measures 5.581, 8.110 and 2.767 Å, with angles of 90.00, 90.00 and 90.00 degrees. The asymmetric unit holds Tc at (0.000, 0.000, 0.000), Hg at (0.000, 0.500, 0.000) and Pt at (0.250, 0.250, 0.500).

The crystal system is orthorhombic. For the formation energy, the calculation gives 0.19 eV per atom.

---

8.
This record from Alexandria describes TcHgPt at its PBEsol-relaxed geometry. The functional is meta-GGA SCAN.

The space group is P3m1 (No. 156) and the conventional cell measures 2.8372, 2.8372 and 6.9203 Å, with angles of 90.00, 90.00 and 120.00 degrees. The asymmetric unit holds Tc at (0.0000, 0.0000, 0.0000), Hg at (0.3333, 0.6667, 0.6515) and Pt at (0.6667, 0.3333, 0.2978).

The crystal system is trigonal. For the formation energy, the calculation gives 0.25 eV per atom.

---

9.
This record from Alexandria describes TcHgPt2 at its PBEsol-relaxed geometry. The functional is meta-GGA SCAN.

The space group is Pmm2 (No. 25) and the conventional cell measures 2.754, 4.563 and 5.011 Å, with angles of 90.00, 90.00 and 90.00 degrees. The asymmetric unit holds Tc at (0.000, 0.000, 0.000), Hg at (0.000, 0.500, 0.658), Pt at (0.500, 0.000, 0.470) and Pt at (0.500, 0.500, 0.149).

The crystal system is orthorhombic. For the formation energy, the calculation gives 0.18 eV per atom.

---

10.
This record from Alexandria describes HgTe2PtW at its PBEsol-relaxed geometry. The functional is meta-GGA SCAN.

The space group is P4/mmm (No. 123) and the conventional cell measures 5.086, 5.086 and 5.205 Å, with angles of 90.00, 90.00 and 90.00 degrees. The asymmetric unit holds Hg at (0.000, 0.000, 0.000), Te at (0.000, 0.500, 0.500), Pt at (0.500, 0.500, 0.000) and W at (0.000, 0.000, 0.500).

The crystal system is tetragonal. Its total DFT energy (no corrections) is -55.295 eV per atom.

---

11.
This record from Alexandria describes TlHg2Pt at its PBEsol-relaxed geometry. The functional is meta-GGA SCAN.

The space group is Pmmm (No. 47) and the conventional cell measures 3.011, 5.207 and 5.260 Å, with angles of 90.00, 90.00 and 90.00 degrees. The asymmetric unit holds Tl at (0.000, 0.000, 0.000), Hg at (0.000, 0.500, 0.500), Hg at (0.500, 0.500, 0.000) and Pt at (0.500, 0.000, 0.500).

The crystal system is orthorhombic. For the formation energy, the calculation gives 0.23 eV per atom.

---

12.
This record from Alexandria describes Tl2HgPt at its PBEsol-relaxed geometry. The functional is meta-GGA SCAN.

The space group is Amm2 (No. 38) and the conventional cell measures 3.690, 4.073 and 12.521 Å, with angles of 90.00, 90.00 and 90.00 degrees. The asymmetric unit holds Tl at (0.000, 0.000, 0.000), Tl at (0.500, 0.000, 0.310), Hg at (0.000, 0.000, 0.703) and Pt at (0.500, 0.000, 0.532).

The crystal system is orthorhombic. For the formation energy, the calculation gives 0.02 eV per atom.

---

13.
This record from Alexandria describes Tl2HgPt at its PBEsol-relaxed geometry. The functional is meta-GGA SCAN.

The space group is I4/mmm (No. 139) and the conventional cell measures 5.095, 5.095 and 6.769 Å, with angles of 90.00, 90.00 and 90.00 degrees. The asymmetric unit holds Tl at (0.000, 0.500, 0.250), Hg at (0.000, 0.000, 0.000) and Pt at (0.000, 0.000, 0.500).

The crystal system is tetragonal. For the formation energy, the calculation gives 0.19 eV per atom.

---

14.
This record from Alexandria describes Tl2HgPt at its PBEsol-relaxed geometry. The functional is meta-GGA SCAN.

The space group is I-42d (No. 122) and the conventional cell measures 8.889, 8.889 and 5.353 Å, with angles of 90.00, 90.00 and 90.00 degrees. The asymmetric unit holds Tl at (0.159, 0.250, 0.125), Hg at (0.000, 0.000, 0.500) and Pt at (0.000, 0.000, 0.000).

The crystal system is tetragonal. For the formation energy, the calculation gives -0.02 eV per atom.

---

15.
This record from Alexandria describes TlHgPt2 at its PBEsol-relaxed geometry. The functional is meta-GGA SCAN.

The space group is Imm2 (No. 44) and the conventional cell measures 3.895, 3.995 and 9.272 Å, with angles of 90.00, 90.00 and 90.00 degrees. The asymmetric unit holds Tl at (0.000, 0.000, 0.000), Hg at (0.000, 0.500, 0.753), Pt at (0.000, 0.000, 0.506) and Pt at (0.000, 0.500, 0.254).

The crystal system is orthorhombic. For the formation energy, the calculation gives 0.19 eV per atom.

---

16.
This record from Alexandria describes Tl2HgPt at its PBEsol-relaxed geometry. The functional is meta-GGA SCAN.

The space group is Immm (No. 71) and the conventional cell measures 3.023, 4.656 and 13.745 Å, with angles of 90.00, 90.00 and 90.00 degrees. The asymmetric unit holds Tl at (0.000, 0.000, 0.182), Hg at (0.000, 0.500, 0.000) and Pt at (0.000, 0.500, 0.500).

The crystal system is orthorhombic. For the formation energy, the calculation gives 0.01 eV per atom.

---

17.
This record from Alexandria describes TlHgPt2 at its PBEsol-relaxed geometry. The functional is meta-GGA SCAN.

The space group is Pmm2 (No. 25) and the conventional cell measures 2.970, 4.673 and 5.506 Å, with angles of 90.00, 90.00 and 90.00 degrees. The asymmetric unit holds Tl at (0.000, 0.000, 0.000), Hg at (0.500, 0.500, 0.486), Pt at (0.000, 0.000, 0.500) and Pt at (0.500, 0.500, 0.986).

The crystal system is orthorhombic. For the formation energy, the calculation gives 0.13 eV per atom.

---

18.
This record from Alexandria describes TlHgPt2 at its PBEsol-relaxed geometry. The functional is meta-GGA SCAN.

The space group is I4/mmm (No. 139) and the conventional cell measures 4.216, 4.216 and 8.014 Å, with angles of 90.00, 90.00 and 90.00 degrees. The asymmetric unit holds Tl at (0.000, 0.000, 0.000), Hg at (0.000, 0.000, 0.500) and Pt at (0.000, 0.500, 0.250).

The crystal system is tetragonal. For the formation energy, the calculation gives 0.16 eV per atom.

---

19.
This record from Alexandria describes Tl2HgPt at its PBEsol-relaxed geometry. The functional is meta-GGA SCAN.

The space group is Cm (No. 8) and the conventional cell measures 9.871, 3.901 and 6.054 Å, with angles of 90.00, 126.73 and 90.00 degrees. The asymmetric unit holds Tl at (0.000, 0.000, 0.000), Tl at (0.179, 0.000, 0.633), Hg at (0.290, 0.500, 0.223) and Pt at (0.477, 0.000, 0.646).

The crystal system is monoclinic. For the formation energy, the calculation gives 0.03 eV per atom.

---

20.
This record from Alexandria describes TlHg2Pt at its PBEsol-relaxed geometry. The functional is meta-GGA SCAN.

The space group is P4mm (No. 99) and the conventional cell measures 3.117, 3.117 and 8.669 Å, with angles of 90.00, 90.00 and 90.00 degrees. The asymmetric unit holds Tl at (0.000, 0.000, 0.000), Hg at (0.000, 0.000, 0.562), Hg at (0.500, 0.500, 0.294) and Pt at (0.500, 0.500, 0.773).

The crystal system is tetragonal. For the formation energy, the calculation gives 0.15 eV per atom.